1.
A relaxed structure of KAl3Fe2Si2H2O12, computed with GGA-PBEsol.

Values from the calculation:
The calculation puts the total magnetization at 8.000 Bohr magnetons per cell. The density is 3.23 g/cm³. The calculation puts the total energy at -7.3845 eV/atom.

Cell: 5.2364 5.2432 10.4955 Å, 95.92 95.10 118.87°
Space group P1 (No. 1)
Asymmetric unit:
K (0.0000, 0.0000, 0.0000)
Al (0.2477, 0.5893, 0.7728)
Al (0.7354, 0.4120, 0.2315)
Al (0.8221, 0.1793, 0.4996)
Fe (0.1671, 0.8226, 0.4998)
Fe (0.4764, 0.5144, 0.4989)
Si (0.4073, 0.7581, 0.2267)
Si (0.5922, 0.2587, 0.7715)
H (0.0589, 0.0904, 0.3075)
H (0.8871, 0.9426, 0.6888)
O (0.0644, 0.6706, 0.1844)
O (0.0952, 0.1314, 0.4025)
O (0.1575, 0.5024, 0.6022)
O (0.3518, 0.9608, 0.8197)
O (0.4498, 0.4785, 0.1787)
O (0.4910, 0.8430, 0.3890)
O (0.5422, 0.5334, 0.8210)
O (0.5517, 0.2009, 0.6087)
O (0.6307, 0.0461, 0.1671)
O (0.7828, 0.4431, 0.4029)
O (0.8537, 0.8990, 0.5938)
O (0.9281, 0.3430, 0.8304)

***

2.
A relaxed structure of LiYTl, computed with GGA-PBEsol.

Values from the calculation:
As for the formation energy: -57 kJ/mol of formula units. The calculation puts the total magnetization at 0.614 Bohr magnetons per cell. The density is 7.10 g/cm³.

Cell: 3.5472 3.5472 11.1536 Å, 90.00 90.00 90.00°
Space group I4mm (No. 107)
Asymmetric unit:
Li (0.0000, 0.0000, 0.0000)
Y (0.0000, 0.0000, 0.3057)
Tl (0.0000, 0.0000, 0.6190)

***

3.
A relaxed structure of LaSiTe2, computed with GGA-PBEsol.

Values from the calculation:
Its uncorrected formation energy is -0.62 eV per atom. The calculation puts the total magnetization at 0.000 Bohr magnetons per cell. The density is 6.79 g/cm³.

Cell: 4.2491 4.5877 10.5927 Å, 90.00 90.00 90.00°
Space group Imm2 (No. 44)
Asymmetric unit:
La (0.0000, 0.0000, 0.0000)
Si (0.0000, 0.5000, 0.7524)
Te (0.0000, 0.0000, 0.4873)
Te (0.0000, 0.5000, 0.2443)

***

4.
A relaxed structure of Mg2TaAu, computed with GGA-PBEsol.

Values from the calculation:
As for the formation energy: 19 kJ/mol of formula units. The calculation puts the total magnetization at 0.000 Bohr magnetons per cell. The density is 9.72 g/cm³.

Cell: 2.8956 4.4432 5.8470 Å, 90.00 104.33 90.00°
Space group Pm (No. 6)
Asymmetric unit:
Mg (0.0000, 0.0000, 0.0000)
Mg (0.3864, 0.5000, 0.7688)
Ta (0.6446, 0.5000, 0.2921)
Au (0.2410, 0.0000, 0.4893)

***

5.
A relaxed structure of HgN2F2, computed with GGA-PBEsol.

Values from the calculation:
Its uncorrected formation energy is 1.46 eV per atom. The calculation puts the total magnetization at 4.612 Bohr magnetons per cell. The density is 5.66 g/cm³.

Cell: 4.2701 4.2701 4.2900 Å, 90.00 90.00 90.00°
Space group P4/mmm (No. 123)
Asymmetric unit:
Hg (0.0000, 0.0000, 0.0000)
N (0.0000, 0.5000, 0.0000)
F (0.0000, 0.0000, 0.5000)
F (0.5000, 0.5000, 0.5000)

***

6.
A relaxed structure of CaNdGa3O7, computed with GGA-PBEsol.

Values from the calculation:
Its uncorrected formation energy is -2.43 eV per atom. The calculation puts the total magnetization at 0.000 Bohr magnetons per cell. The density is 5.18 g/cm³.

Cell: 11.0781 11.2181 5.2181 Å, 90.00 90.00 90.00°
Space group Cmm2 (No. 35)
Asymmetric unit:
Ca (0.1589, 0.0000, 0.0000)
Nd (0.0000, 0.3380, 0.9716)
Ga (0.0000, 0.1426, 0.5179)
Ga (0.1468, 0.5000, 0.4473)
Ga (0.2500, 0.2500, 0.4727)
O (0.0000, 0.0000, 0.6885)
O (0.0000, 0.1433, 0.1730)
O (0.0000, 0.5000, 0.2776)
O (0.1237, 0.2209, 0.6910)
O (0.1349, 0.5000, 0.7922)
O (0.2125, 0.3750, 0.2610)

***

7.
A relaxed structure of AlMo2Se, computed with GGA-PBEsol.

Values from the calculation:
Its uncorrected formation energy is 0.24 eV per atom. The calculation puts the total magnetization at 0.000 Bohr magnetons per cell. The density is 8.02 g/cm³.

Cell: 3.9802 3.9802 7.7802 Å, 90.00 90.00 90.00°
Space group I-4m2 (No. 119)
Asymmetric unit:
Al (0.0000, 0.0000, 0.0000)
Mo (0.0000, 0.0000, 0.5000)
Mo (0.0000, 0.5000, 0.2500)
Se (0.0000, 0.5000, 0.7500)

***

8.
A relaxed structure of Zn2SiTe, computed with GGA-PBEsol.

Values from the calculation:
Its uncorrected formation energy is 0.21 eV per atom. The calculation puts the total magnetization at 0.001 Bohr magnetons per cell. The density is 4.96 g/cm³.

Cell: 6.0227 6.0227 10.5855 Å, 90.00 90.00 90.00°
Space group I-42d (No. 122)
Asymmetric unit:
Zn (0.2178, 0.7500, 0.1250)
Si (0.0000, 0.0000, 0.0000)
Te (0.0000, 0.0000, 0.5000)

***

9.
A relaxed structure of Ca2Ge2Au, computed with GGA-PBEsol.

Values from the calculation:
As for the formation energy: -305 kJ/mol of formula units. The calculation puts the total magnetization at 0.000 Bohr magnetons per cell. The density is 6.49 g/cm³.

Cell: 6.8887 6.8887 4.5547 Å, 90.00 90.00 90.00°
Space group P4/mbm (No. 127)
Asymmetric unit:
Ca (0.1694, 0.3306, 0.0000)
Ge (0.1350, 0.6350, 0.5000)
Au (0.0000, 0.0000, 0.5000)

***

10.
A relaxed structure of U2ReB6, computed with GGA-PBEsol.

Values from the calculation:
As for the formation energy: -512 kJ/mol of formula units. The calculation puts the total magnetization at 0.198 Bohr magnetons per cell. The density is 12.90 g/cm³.

Cell: 9.2121 11.2905 3.5989 Å, 90.00 90.00 90.00°
Space group Pbam (No. 55)
Asymmetric unit:
U (0.0438, 0.1050, 0.0000)
U (0.1646, 0.4074, 0.0000)
Re (0.1445, 0.6797, 0.0000)
B (0.0151, 0.2815, 0.5000)
B (0.0496, 0.5666, 0.5000)
B (0.1421, 0.9607, 0.5000)
B (0.1446, 0.8120, 0.5000)
B (0.1957, 0.2275, 0.5000)
B (0.2429, 0.5761, 0.5000)

***

11.
A relaxed structure of YCuRh2, computed with GGA-PBEsol.

Values from the calculation:
As for the formation energy: -74 kJ/mol of formula units. The calculation puts the total magnetization at 0.000 Bohr magnetons per cell. The density is 9.32 g/cm³.

Cell: 2.9582 4.1807 5.3095 Å, 90.00 103.63 90.00°
Space group P2/m (No. 10)
Asymmetric unit:
Y (0.0000, 0.0000, 0.0000)
Cu (0.5000, 0.0000, 0.5000)
Rh (0.3356, 0.5000, 0.7182)

***

12.
A relaxed structure of YZrZn2, computed with GGA-PBEsol.

Values from the calculation:
As for the formation energy: -104 kJ/mol of formula units. The calculation puts the total magnetization at 0.000 Bohr magnetons per cell. The density is 6.62 g/cm³.

Cell: 4.8405 4.8405 3.3304 Å, 90.00 90.00 90.00°
Space group P4/mmm (No. 123)
Asymmetric unit:
Y (0.0000, 0.0000, 0.0000)
Zr (0.5000, 0.5000, 0.0000)
Zn (0.0000, 0.5000, 0.5000)

***

13.
A relaxed structure of BaSr2Fe, computed with GGA-PBEsol.

Values from the calculation:
As for the formation energy: 265 kJ/mol of formula units. The calculation puts the total magnetization at 11.656 Bohr magnetons per cell. The density is 4.37 g/cm³.

Cell: 8.2442 8.2442 8.2442 Å, 90.00 90.00 90.00°
Space group Fm-3m (No. 225)
Asymmetric unit:
Ba (0.0000, 0.0000, 0.0000)
Sr (0.2500, 0.2500, 0.2500)
Fe (0.0000, 0.0000, 0.5000)

***

14.
A relaxed structure of BP2PdSe, computed with GGA-PBEsol.

Values from the calculation:
Its uncorrected formation energy is 0.65 eV per atom. The calculation puts the total magnetization at 0.000 Bohr magnetons per cell. The density is 6.01 g/cm³.

Cell: 3.9747 3.9747 4.5163 Å, 90.00 90.00 90.00°
Space group P4/mmm (No. 123)
Asymmetric unit:
B (0.0000, 0.0000, 0.0000)
P (0.0000, 0.5000, 0.0000)
Pd (0.5000, 0.5000, 0.5000)
Se (0.0000, 0.0000, 0.5000)

***

15.
A relaxed structure of VP2O7, computed with GGA-PBEsol.

Values from the calculation:
Its uncorrected formation energy is -2.19 eV per atom. The calculation puts the total magnetization at 4.000 Bohr magnetons per cell. The density is 3.07 g/cm³.

Cell: 15.1758 4.1723 9.5892 Å, 90.00 126.66 90.00°
Space group C2/c (No. 15)
Asymmetric unit:
V (0.0000, 0.2478, 0.2500)
P (0.1700, 0.4962, 0.1524)
O (0.0000, 0.1361, 0.7500)
O (0.0889, 0.3327, 0.1677)
O (0.1316, 0.3427, 0.4855)
O (0.2377, 0.2536, 0.8094)

***

16.
A relaxed structure of Zr2Al4Cu, computed with GGA-PBEsol.

Values from the calculation:
As for the formation energy: -307 kJ/mol of formula units. The calculation puts the total magnetization at 0.000 Bohr magnetons per cell. The density is 4.98 g/cm³.

Cell: 6.7296 17.7255 3.9586 Å, 90.00 90.00 90.00°
Space group Cmcm (No. 63)
Asymmetric unit:
Zr (0.0000, 0.0741, 0.2500)
Zr (0.0000, 0.3557, 0.7500)
Al (0.1927, 0.1904, 0.7500)
Al (0.1997, 0.4528, 0.2500)
Cu (0.0000, 0.2360, 0.2500)

***

17.
A relaxed structure of Ba3NaSn, computed with GGA-PBEsol.

Values from the calculation:
As for the formation energy: 153 kJ/mol of formula units. The calculation puts the total magnetization at 0.004 Bohr magnetons per cell. The density is 3.86 g/cm³.

Cell: 6.1999 6.1999 6.1999 Å, 90.00 90.00 90.00°
Space group Pm-3m (No. 221)
Asymmetric unit:
Ba (0.0000, 0.0000, 0.5000)
Na (0.0000, 0.0000, 0.0000)
Sn (0.5000, 0.5000, 0.5000)

***

18.
A relaxed structure of ZrCrRe2, computed with GGA-PBEsol.

Values from the calculation:
As for the formation energy: 3 kJ/mol of formula units. The calculation puts the total magnetization at 0.000 Bohr magnetons per cell. The density is 14.12 g/cm³.

Cell: 3.0712 3.0712 6.4280 Å, 90.00 90.00 90.00°
Space group P4/mmm (No. 123)
Asymmetric unit:
Zr (0.0000, 0.0000, 0.0000)
Cr (0.0000, 0.0000, 0.5000)
Re (0.5000, 0.5000, 0.2784)

***

19.
A relaxed structure of AgPt2, computed with GGA-PBEsol.

Values from the calculation:
As for the formation energy: 24 kJ/mol of formula units. The calculation puts the total magnetization at 0.000 Bohr magnetons per cell. The density is 16.60 g/cm³.

Cell: 7.3597 7.3597 7.3597 Å, 90.00 90.00 90.00°
Space group Fd-3m (No. 227, origin choice 2)
Asymmetric unit:
Ag (0.1250, 0.1250, 0.1250)
Pt (0.0000, 0.0000, 0.5000)

***

20.
A relaxed structure of CdSbOs3, computed with GGA-PBEsol.

Values from the calculation:
Its uncorrected formation energy is 2.40 eV per atom. The calculation puts the total magnetization at 1.513 Bohr magnetons per cell. The density is 12.28 g/cm³.

Cell: 4.7748 4.7748 4.7748 Å, 90.00 90.00 90.00°
Space group Pm-3m (No. 221)
Asymmetric unit:
Cd (0.0000, 0.0000, 0.0000)
Sb (0.5000, 0.5000, 0.5000)
Os (0.0000, 0.5000, 0.5000)

***

21.
A relaxed structure of FeSiRh2, computed with GGA-PBEsol.

Values from the calculation:
Its uncorrected formation energy is -0.48 eV per atom. The calculation puts the total magnetization at 3.483 Bohr magnetons per cell. The density is 9.52 g/cm³.

Cell: 2.7916 2.7916 6.4857 Å, 90.00 90.00 90.00°
Space group P4/mmm (No. 123)
Asymmetric unit:
Fe (0.0000, 0.0000, 0.0000)
Si (0.0000, 0.0000, 0.5000)
Rh (0.5000, 0.5000, 0.2760)

***

22.
A relaxed structure of KPPb, computed with GGA-PBEsol.

Values from the calculation:
As for the formation energy: -70 kJ/mol of formula units. The calculation puts the total magnetization at 0.000 Bohr magnetons per cell. The density is 5.04 g/cm³.

Cell: 4.1009 4.1009 6.2766 Å, 90.00 90.00 120.00°
Space group P3m1 (No. 156)
Asymmetric unit:
K (0.0000, 0.0000, 0.0000)
P (0.3333, 0.6667, 0.6745)
Pb (0.6667, 0.3333, 0.4624)

***

23.
A relaxed structure of CuH2Rh2, computed with GGA-PBEsol.

Values from the calculation:
The calculation puts the total magnetization at 0.063 Bohr magnetons per cell. The density is 10.07 g/cm³. The calculation puts the total energy at -5.4094 eV/atom.

Cell: 2.9615 2.9615 10.2078 Å, 90.00 90.00 90.00°
Space group I4/mmm (No. 139)
Asymmetric unit:
Cu (0.0000, 0.0000, 0.0000)
H (0.0000, 0.5000, 0.2500)
Rh (0.0000, 0.0000, 0.3545)

***

24.
A relaxed structure of PSeBr2O, computed with GGA-PBEsol.

Values from the calculation:
Its uncorrected formation energy is 0.82 eV per atom. The calculation puts the total magnetization at 0.000 Bohr magnetons per cell. The density is 5.08 g/cm³.

Cell: 4.7540 4.7540 4.1365 Å, 90.00 90.00 90.00°
Space group P4/mmm (No. 123)
Asymmetric unit:
P (0.0000, 0.0000, 0.0000)
Se (0.5000, 0.5000, 0.0000)
Br (0.0000, 0.5000, 0.5000)
O (0.5000, 0.5000, 0.5000)